VASP calculation (GGA+U) on a relaxed structure of Pm2ScCrO6.

Cell and atoms, written as POSCAR:
```
Pm2ScCrO6
1.0
5.588 0.000 0.000
0.000 5.588 0.000
0.000 0.000 4.168
Pm Sc Cr O
2 1 1 6
Direct
0.000 0.500 0.000 Pm
0.500 0.000 0.000 Pm
0.000 0.000 0.578 Sc
0.500 0.500 0.615 Cr
0.000 0.000 0.106 O
0.254 0.254 0.659 O
0.254 0.746 0.659 O
0.500 0.500 0.128 O
0.746 0.254 0.659 O
0.746 0.746 0.659 O
```

Summary:
As for the volume: 130.2 Å³ per cell. Its density of states at the Fermi level is 0.0000 states/eV per atom. The value obtained for the total DFT energy (no corrections) is -8.248 eV/atom.